(1)
The following is a DFT calculation (PBE) of a geometry-optimized Te2OsW structure.

Properties
- N(E_F): 4.7 states/eV per cell
- E above lowest polymorph: 89.23 kJ/mol of atoms
- Space group: No. 65

a = 3.1449 Å, b = 3.1449 Å, c = 9.0446 Å
α = 90.00°, β = 90.00°, γ = 118.17°
Element x y z (fractional)
Os1 0.5000 0.5000 0.7500
W1 0.5000 0.5000 0.2500
Te1 0.0000 0.0000 0.9968
Te2 0.0000 0.0000 0.5032


(2)
The following is a DFT calculation (PBE) of a geometry-optimized TeOs4W structure.

Properties
- Final energy: -9.193 eV per atom
- N(E_F): 7.1 states/eV per cell
- Space group: No. 216

a = 5.2201 Å, b = 5.2201 Å, c = 5.2201 Å
α = 60.00°, β = 60.00°, γ = 60.00°
Element x y z (fractional)
W1 0.0000 0.0000 0.0000
Os1 0.8766 0.3745 0.3745
Os2 0.3745 0.3745 0.8766
Os3 0.3745 0.8766 0.3745
Os4 0.3745 0.3745 0.3745
Te1 0.7500 0.7500 0.7500